The following is a DFT calculation (PBE) of a relaxed ScAl2Cu2 crystal.

abc: 3.950 3.950 10.785
angles: 100.55 100.55 90.00
Atoms (fractional coordinates):
1 Sc 0.624 0.624 0.247
2 Sc 0.376 0.376 0.753
3 Al 0.000 0.500 0.000
4 Al 0.181 0.181 0.363
5 Al 0.500 0.000 0.000
6 Al 0.819 0.819 0.637
7 Cu 0.750 0.250 0.500
8 Cu 0.931 0.931 0.861
9 Cu 0.069 0.069 0.139
10 Cu 0.250 0.750 0.500

energy of formation from the pure elements	-0.3181	eV/atom
uncorrected energy	-4.720	eV per atom